The following is a DFT calculation (PBE) of crystalline Na12SrTl7 at its relaxed geometry.

Calculated values
For the size of the total moment, the calculation gives 0.00 μB/atom. As for the total energy: -35.7 eV per cell. Its density of states at the Fermi level is 11.266 states/eV/cell.

a b c (Å): 10.5870 9.1706 9.1706
angles (deg): 73.87 67.37 112.63
Atoms (fractional coordinates):
Na 0.8729 0.5188 0.1881
Na 0.4466 0.6488 0.9085
Na 0.3551 0.9085 0.4427
Na 0.6449 0.0915 0.5573
Na 0.3541 0.2931 0.5188
Na 0.9390 0.8119 0.7069
Na 0.2022 0.5573 0.3512
Na 0.0610 0.1881 0.2931
Na 0.7978 0.4427 0.6488
Na 0.1271 0.4812 0.8119
Na 0.6459 0.7069 0.4812
Na 0.5534 0.3512 0.0915
Tl 0.5000 0.0000 0.0000
Tl 0.8861 0.1401 0.7230
Tl 0.3909 0.2770 0.8631
Tl 0.7459 0.1369 0.1401
Tl 0.1139 0.8599 0.2770
Tl 0.6091 0.7230 0.1369
Tl 0.2541 0.8631 0.8599
Sr 0.0000 0.0000 0.0000

***

The following is a DFT calculation (PBE) of crystalline UTaP2 at its relaxed geometry.

Calculated values
Its offset from the most stable computed form is 0.000 eV per atom. For the size of the total moment, the calculation gives 0.48 μB/atom. As for the total energy: -37.4 eV per cell. Its density of states at the Fermi level is 3.900 states/eV/cell.

a b c (Å): 3.7526 3.7526 6.4148
angles (deg): 72.99 72.99 60.00
Each line ends with the local moment (μB).
Atoms (fractional coordinates):
P 0.2575 0.2575 0.2274  -0.03
P 0.7425 0.7425 0.7726  -0.03
U 0.5000 0.5000 0.5000  1.85
Ta 0.0000 0.0000 0.0000  -0.05

***

The following is a DFT calculation (PBE) of crystalline Ta2CuI at its relaxed geometry.

Calculated values
As for the formation energy (no corrections): 0.808 eV/atom. Its offset from the most stable computed form is 0.000 eV per atom. For the size of the total moment, the calculation gives 0.00 μB/atom. As for the total energy: -26.1 eV per cell. Its density of states at the Fermi level is 3.522 states/eV/cell.

a b c (Å): 4.6521 4.6521 4.6521
angles (deg): 60.00 60.00 60.00
Atoms (fractional coordinates):
Ta 0.7500 0.7500 0.7500
Ta 0.2500 0.2500 0.2500
I 0.5000 0.5000 0.5000
Cu 0.0000 0.0000 0.0000

***

The following is a DFT calculation (PBE) of crystalline CsMgInO3 at its relaxed geometry.

Calculated values
As for the formation energy (no corrections): -1.789 eV/atom. For the size of the total moment, the calculation gives 0.00 μB/atom. As for the total energy: -61.6 eV per cell.

a b c (Å): 5.8691 5.8609 6.2760
angles (deg): 117.84 90.00 90.00
Atoms (fractional coordinates):
Mg 0.2500 0.0662 0.1323
Mg 0.7500 0.9338 0.8677
O 0.2500 0.2450 0.4900
O 0.0000 0.2454 0.0000
O 0.7500 0.7550 0.5100
O 0.5000 0.2454 0.0000
O 0.5000 0.7546 0.0000
O 0.0000 0.7546 0.0000
In 0.2500 0.4310 0.8620
In 0.7500 0.5690 0.1380
Cs 0.7500 0.2469 0.4937
Cs 0.2500 0.7531 0.5063

***

The following is a DFT calculation (PBE) of crystalline SrHgRu2 at its relaxed geometry.

Calculated values
For the size of the total moment, the calculation gives 0.58 μB/atom. As for the total energy: -17.9 eV per cell. Its density of states at the Fermi level is 3.253 states/eV/cell.

a b c (Å): 3.5794 3.5794 6.7548
angles (deg): 90.00 90.00 90.00
Each line ends with the local moment (μB).
Atoms (fractional coordinates):
Ru 0.0000 0.0000 0.9352  1.13
Ru 0.0000 0.0000 0.5648  1.13
Sr 0.5000 0.5000 0.2500  -0.01
Hg 0.5000 0.5000 0.7500  -0.02

***

The following is a DFT calculation (PBE) of crystalline Rb3LiAg2Cl6 at its relaxed geometry.

Calculated values
As for the formation energy (no corrections): -1.317 eV/atom. For the size of the total moment, the calculation gives 0.00 μB/atom. As for the total energy: -37.4 eV per cell. Its density of states at the Fermi level is 0.000 states/eV/cell.

a b c (Å): 7.7568 7.7568 8.3356
angles (deg): 90.00 90.00 120.00
Atoms (fractional coordinates):
Cl 0.3067 0.1534 0.6980
Cl 0.1534 0.8466 0.3020
Cl 0.8466 0.1534 0.6980
Cl 0.1534 0.3067 0.3020
Cl 0.6933 0.8466 0.3020
Cl 0.8466 0.6933 0.6980
Rb 0.0000 0.0000 0.0000
Rb 0.3333 0.6667 0.6458
Rb 0.6667 0.3333 0.3542
Ag 0.3333 0.6667 0.2398
Ag 0.6667 0.3333 0.7602
Li 0.0000 0.0000 0.5000

***

The following is a DFT calculation (PBE) of crystalline Ba6Na2PtRh at its relaxed geometry.

Calculated values
For the size of the total moment, the calculation gives 0.00 μB/atom. As for the total energy: -30.2 eV per cell. Its density of states at the Fermi level is 7.355 states/eV/cell.

a b c (Å): 8.8558 8.8558 8.8634
angles (deg): 120.00 120.00 90.01
Atoms (fractional coordinates):
Pt 0.9996 0.0001 0.9992
Na 0.7507 0.2513 0.5015
Na 0.2508 0.7512 0.5015
Ba 0.7472 0.7476 0.4941
Ba 0.7469 0.7476 0.9991
Ba 0.2521 0.2527 0.5045
Ba 0.7472 0.2528 0.9994
Ba 0.2526 0.2530 0.9999
Ba 0.2523 0.7476 0.9995
Rh 0.4996 0.5001 0.9993

***

The following is a DFT calculation (PBE) of crystalline LuSn2Rh at its relaxed geometry.

Calculated values
For the size of the total moment, the calculation gives 0.00 μB/atom. As for the total energy: -21.8 eV per cell. Its density of states at the Fermi level is 1.051 states/eV/cell.

a b c (Å): 4.3681 4.3768 4.3768
angles (deg): 90.00 90.00 90.00
Atoms (fractional coordinates):
Sn 0.0000 0.5000 0.0000
Sn 0.0000 0.0000 0.5000
Rh 0.5000 0.5000 0.5000
Lu 0.5000 0.0000 0.0000

***

The following is a DFT calculation (PBE) of crystalline TbNdY2Mg at its relaxed geometry.

Calculated values
For the size of the total moment, the calculation gives 0.00 μB/atom. As for the total energy: -47.7 eV per cell. Its density of states at the Fermi level is 16.167 states/eV/cell.

a b c (Å): 5.6353 6.2062 9.4537
angles (deg): 70.94 90.00 90.00
Atoms (fractional coordinates):
Y 0.2500 0.2515 0.1983
Y 0.7500 0.7485 0.8017
Y 0.2500 0.0196 0.6070
Y 0.7500 0.9804 0.3930
Mg 0.7500 0.5733 0.1934
Mg 0.2500 0.4267 0.8066
Nd 0.7500 0.3532 0.6098
Nd 0.2500 0.6468 0.3902
Tb 0.7500 0.1620 0.9954
Tb 0.2500 0.8380 0.0046

***

The following is a DFT calculation (PBE) of crystalline NaTlIn2Co at its relaxed geometry.

Calculated values
For the size of the total moment, the calculation gives 0.00 μB/atom. As for the total energy: -16.2 eV per cell. Its density of states at the Fermi level is 2.977 states/eV/cell.

a b c (Å): 4.9933 4.9933 5.0874
angles (deg): 90.00 90.00 90.00
Atoms (fractional coordinates):
Na 0.5000 0.5000 0.5000
In 0.5000 0.0000 0.0000
In 0.0000 0.5000 0.0000
Co 0.0000 0.0000 0.0000
Tl 0.0000 0.0000 0.5000